# 1
# Li4TlIn

Li4TlIn after structural relaxation (PBE, Alexandria via LeMat-Bulk).

```
6
Lattice="2.9961 0.0000 0.0000 0.0000 4.7572 0.0000 -0.0153 0.0000 8.2583" Properties=species:S:1:pos:R:3 pbc="T T T"
Li 0.0000 0.0000 0.0000
Li 0.0005 2.3786 1.5203
Li -0.0038 0.0000 5.4897
Li 1.5034 2.3786 4.2243
Tl 1.5006 0.0000 2.6858
In 1.4861 2.3786 7.0653
```

- DFT formation energy: -0.221 eV/atom
- Crystal system: monoclinic
- Total DFT energy (no corrections): -2.348 eV per atom
- DOS(E_F): 0.2736 states/eV per atom
- Polymorph energy (0 for the lowest one): 8.3 meV/atom
- Space group: No. 6



# 2
# ScCo3B3

ScCo3B3 after structural relaxation (PBE, Alexandria via LeMat-Bulk).

```
14
Lattice="5.3962 0.0000 0.0000 0.0000 5.3962 0.0000 0.0000 0.0000 5.3962" Properties=species:S:1:pos:R:3 pbc="T T T"
Sc 0.0000 0.0000 0.0000
Sc 2.6981 2.6981 2.6981
Co 0.0000 1.3490 2.6981
Co 0.0000 4.0471 2.6981
Co 1.3490 2.6981 0.0000
Co 2.6981 0.0000 1.3490
Co 2.6981 0.0000 4.0471
Co 4.0471 2.6981 0.0000
B 0.0000 2.6981 1.3490
B 0.0000 2.6981 4.0471
B 1.3490 0.0000 2.6981
B 2.6981 1.3490 0.0000
B 2.6981 4.0471 0.0000
B 4.0471 0.0000 2.6981
```

- DFT formation energy: -0.092 eV/atom
- Crystal system: cubic
- Total DFT energy (no corrections): -6.904 eV per atom
- DOS(E_F): 0.4338 states/eV per atom
- Space group: No. 223



# 3
# CsBeZnH2

CsBeZnH2 after structural relaxation (PBE, Alexandria via LeMat-Bulk).

```
5
Lattice="3.5129 0.0000 0.0000 0.0082 3.5590 0.0000 1.7502 1.7129 7.1864" Properties=species:S:1:pos:R:3 pbc="T T T"
Cs 0.0000 0.0000 0.0000
Be 3.5156 3.5511 3.4180
Zn 1.7555 1.7683 3.2221
H 3.5114 3.4920 6.1978
H 3.5128 3.5003 5.3527
```

- Crystal system: triclinic
- Total DFT energy (no corrections): -2.076 eV per atom
- DOS(E_F): 0.3968 states/eV per atom
- Polymorph energy (0 for the lowest one): 372.0 meV/atom
- Space group: No. 1



# 4
# PRh2Se

PRh2Se after structural relaxation (PBE, Alexandria via LeMat-Bulk).

```
4
Lattice="3.4135 0.0000 0.0000 0.0000 3.4135 0.0000 0.0000 0.0000 5.3975" Properties=species:S:1:pos:R:3 pbc="T T T"
P 0.0000 0.0000 0.0000
Rh 0.0000 0.0000 2.2998
Rh 1.7068 1.7068 0.6083
Se 1.7068 1.7068 3.1164
```

- Crystal system: tetragonal
- Raw formation energy: -0.32 eV/atom
- Total DFT energy (no corrections): -6.215 eV per atom
- DOS(E_F): 0.5452 states/eV per atom
- Space group: No. 99



# 5
# PmGdThPa

PmGdThPa after structural relaxation (PBE, Alexandria via LeMat-Bulk).

```
16
Lattice="7.8975 0.0000 0.0000 0.0000 7.8975 0.0000 0.0000 0.0000 7.8975" Properties=species:S:1:pos:R:3 pbc="T T T"
Pm 0.0000 0.0000 0.0000
Pm 0.0000 3.9487 3.9487
Pm 3.9487 0.0000 3.9487
Pm 3.9487 3.9487 0.0000
Gd 1.9744 1.9744 5.9231
Gd 1.9744 5.9231 1.9744
Gd 5.9231 1.9744 1.9744
Gd 5.9231 5.9231 5.9231
Th 0.0000 0.0000 3.9487
Th 0.0000 3.9487 0.0000
Th 3.9487 0.0000 0.0000
Th 3.9487 3.9487 3.9487
Pa 1.9744 1.9744 1.9744
Pa 1.9744 5.9231 5.9231
Pa 5.9231 1.9744 5.9231
Pa 5.9231 5.9231 1.9744
```

- DFT formation energy: 0.359 eV/atom
- Crystal system: cubic
- Total DFT energy (no corrections): -8.578 eV per atom
- DOS(E_F): 2.8360 states/eV per atom
- Space group: No. 216



# 6
# Ac2Ga4Ir3Pt

Ac2Ga4Ir3Pt after structural relaxation (PBE, Alexandria via LeMat-Bulk).

```
10
Lattice="4.3569 0.0000 0.0000 0.0000 4.3569 0.0000 0.0000 0.0000 10.6180" Properties=species:S:1:pos:R:3 pbc="T T T"
Ac 0.0000 2.1784 2.6372
Ac 2.1784 0.0000 7.9808
Ga 0.0000 0.0000 5.3090
Ga 0.0000 2.1784 9.2727
Ga 2.1784 0.0000 1.3453
Ga 2.1784 2.1784 5.3090
Ir 0.0000 0.0000 0.0000
Ir 0.0000 2.1784 6.6974
Ir 2.1784 0.0000 3.9206
Pt 2.1784 2.1784 0.0000
```

- DFT formation energy: -0.757 eV/atom
- Crystal system: tetragonal
- Total DFT energy (no corrections): -6.051 eV per atom
- DOS(E_F): 0.4190 states/eV per atom
- Space group: No. 115



# 7
# Cd2TcAu

Cd2TcAu after structural relaxation (PBE, Alexandria via LeMat-Bulk).

```
8
Lattice="2.8866 0.0000 0.0000 0.0000 5.0051 0.0000 0.0000 0.0000 10.3143" Properties=species:S:1:pos:R:3 pbc="T T T"
Cd 0.0000 0.0000 0.0000
Cd 0.0000 2.5026 2.3592
Cd 1.4433 0.0000 7.5164
Cd 1.4433 2.5026 5.1572
Tc 0.0000 2.5026 7.6695
Tc 1.4433 0.0000 2.5124
Au 0.0000 0.0000 4.8894
Au 1.4433 2.5026 10.0466
```

- DFT formation energy: 0.320 eV/atom
- Crystal system: orthorhombic
- Total DFT energy (no corrections): -3.548 eV per atom
- DOS(E_F): 0.6271 states/eV per atom
- Polymorph energy (0 for the lowest one): 94.0 meV/atom
- Space group: No. 44



# 8
# Ag2PAuS4

Ag2PAuS4 after structural relaxation (PBE, Alexandria via LeMat-Bulk).

```
8
Lattice="0.0000 4.3693 5.4334 3.8417 0.0000 5.4334 3.8417 4.3693 0.0000" Properties=species:S:1:pos:R:3 pbc="T T T"
Ag 1.9208 2.1847 0.0000
Ag 1.9208 2.1847 5.4334
P 3.8417 4.3693 2.6769
Au 3.8417 4.3693 8.9054
S 5.4271 4.3693 4.1262
S 3.8417 1.7634 7.1165
S 2.2563 4.3693 4.1262
S 3.8417 6.9752 7.1165
```

- Crystal system: orthorhombic
- Raw formation energy: -0.10 eV/atom
- Total DFT energy (no corrections): -3.965 eV per atom
- Space group: No. 42



# 9
# Cs4Np3NiS8

Cs4Np3NiS8 after structural relaxation (PBE, Alexandria via LeMat-Bulk).

```
16
Lattice="7.2160 -3.9806 0.0000 7.2160 3.9806 0.0000 -4.7305 0.0000 8.0186" Properties=species:S:1:pos:R:3 pbc="T T T"
Cs 0.0000 0.0000 0.0000
Cs 3.6080 1.9903 0.0000
Cs 3.6080 -1.9903 0.0000
Cs 7.2160 0.0000 0.0000
Np -2.3652 0.0000 4.0093
Np 1.2428 1.9903 4.0093
Np 1.2428 -1.9903 4.0093
Ni 4.8508 0.0000 4.0093
S 0.0272 0.0000 5.4841
S 3.6987 1.8527 5.3322
S 2.2213 0.0000 2.4853
S 6.0029 1.8527 2.6864
S 3.6987 -1.8527 5.3322
S 7.4803 0.0000 5.5333
S 6.0029 -1.8527 2.6864
S 9.6744 0.0000 2.5345
```

- Crystal system: monoclinic
- Raw formation energy: -1.09 eV/atom
- Total DFT energy (no corrections): -6.158 eV per atom
- DOS(E_F): 1.8514 states/eV per atom
- Space group: No. 12



# 10
# Tl2W

Tl2W after structural relaxation (PBE, Alexandria via LeMat-Bulk).

```
12
Lattice="5.1092 0.0000 0.0000 0.0000 5.0611 0.0000 0.0000 0.0000 11.4395" Properties=species:S:1:pos:R:3 pbc="T T T"
Tl 0.0600 1.2653 2.0956
Tl 0.8854 1.2653 6.0755
Tl 1.6692 3.7958 0.3558
Tl 2.4946 3.7958 7.8153
Tl 2.6147 1.2653 3.6242
Tl 3.4400 1.2653 11.0837
Tl 4.2238 3.7958 5.3640
Tl 5.0492 3.7958 9.3439
W 1.1987 3.7958 3.2347
W 1.3559 1.2653 8.9545
W 3.7533 3.7958 2.4850
W 3.9105 1.2653 8.2048
```

- DFT formation energy: 0.947 eV/atom
- Crystal system: orthorhombic
- Total DFT energy (no corrections): -4.948 eV per atom
- DOS(E_F): 0.5702 states/eV per atom
- Polymorph energy (0 for the lowest one): 319.1 meV/atom
- Space group: No. 62



# 11
# FeRe2Se

FeRe2Se after structural relaxation (PBE, Alexandria via LeMat-Bulk).

```
8
Lattice="3.0000 0.0000 0.0000 0.0000 4.4602 0.0000 0.0000 0.0000 9.1309" Properties=species:S:1:pos:R:3 pbc="T T T"
Fe 0.0000 0.0000 0.0000
Fe 1.5000 2.2301 0.0000
Re 0.0000 2.2301 2.0692
Re 0.0000 2.2301 7.0617
Re 1.5000 0.0000 2.0692
Re 1.5000 0.0000 7.0617
Se 0.0000 0.0000 4.5655
Se 1.5000 2.2301 4.5655
```

- Crystal system: orthorhombic
- Raw formation energy: 0.68 eV/atom
- Total DFT energy (no corrections): -8.536 eV per atom
- DOS(E_F): 0.9168 states/eV per atom
- Space group: No. 65



# 12
# Ag2OsRh

Ag2OsRh after structural relaxation (PBE, Alexandria via LeMat-Bulk).

```
12
Lattice="2.7588 0.0000 0.0000 -1.3794 2.3892 0.0000 0.0000 0.0000 28.6800" Properties=species:S:1:pos:R:3 pbc="T T T"
Ag 0.0000 0.0000 7.1521
Ag 0.0000 0.0000 21.5279
Ag 0.0000 1.5928 11.9679
Ag 0.0000 1.5928 26.2721
Ag 1.3794 0.7964 2.4079
Ag 1.3794 0.7964 16.7121
Os 0.0000 0.0000 0.0000
Os 0.0000 1.5928 19.1200
Os 1.3794 0.7964 9.5600
Rh 0.0000 0.0000 14.3400
Rh 0.0000 1.5928 4.7800
Rh 1.3794 0.7964 23.9000
```

- DFT formation energy: 0.476 eV/atom
- Crystal system: trigonal
- Total DFT energy (no corrections): -5.595 eV per atom
- DOS(E_F): 1.0767 states/eV per atom
- Polymorph energy (0 for the lowest one): 212.1 meV/atom
- Space group: No. 166